Entry 1:
Below is an optimized crystal structure of K2Al2Bi, with properties calculated at the PBE-GGA level.

Cell: 7.599 7.599 5.825 Å, 90.00 90.00 90.00°
Element x y z (fractional)
K: 0.186 0.314 0.000
K: 0.314 0.814 0.000
K: 0.686 0.186 0.000
K: 0.814 0.686 0.000
Al: 0.120 0.620 0.500
Al: 0.380 0.120 0.500
Al: 0.620 0.880 0.500
Al: 0.880 0.380 0.500
Bi: 0.000 0.000 0.500
Bi: 0.500 0.500 0.500

Output
The value obtained for the energy of formation from the pure elements is 31 kJ/mol of formula units.


Entry 2:
Below is an optimized crystal structure of PuHf2N4, with properties calculated at the PBE-GGA level.

Cell: 5.520 5.520 10.485 Å, 90.00 90.00 146.36°
Element x y z (fractional)
Pu: 0.111 0.889 0.750
Pu: 0.889 0.111 0.250
Hf: 0.367 0.633 0.567
Hf: 0.367 0.633 0.933
Hf: 0.633 0.367 0.067
Hf: 0.633 0.367 0.433
N: 0.000 0.000 0.000
N: 0.000 0.000 0.500
N: 0.268 0.732 0.117
N: 0.268 0.732 0.383
N: 0.465 0.535 0.750
N: 0.535 0.465 0.250
N: 0.732 0.268 0.617
N: 0.732 0.268 0.883

Output
Its polymorph energy (0 for the lowest one) is 0.0000 eV/atom. Its raw formation energy is -1.5023 eV/atom.


Entry 3:
Below is an optimized crystal structure of AsOs2Se, with properties calculated at the PBE-GGA level.

Cell: 5.774 8.757 2.909 Å, 90.00 120.15 90.00°
Element x y z (fractional)
As: 0.000 0.000 0.000
As: 0.500 0.500 0.000
Os: 0.250 0.250 0.500
Os: 0.250 0.750 0.500
Os: 0.750 0.250 0.500
Os: 0.750 0.750 0.500
Se: 0.000 0.500 0.000
Se: 0.500 0.000 0.000

Output
Its polymorph energy (0 for the lowest one) is 0.6911 eV/atom. Its raw formation energy is 0.9321 eV/atom.